Entry from Alexandria: a relaxed LaDy2 crystal (GGA-PBE).

formation energy from the elements = -0.003 eV/atom
volume = 299.0 Å³/cell
DOS(E_F) = 1.460 states/eV/atom
magnetization = 0.00 μB/cell
final energy = -4.71 eV/atom
excess energy over the best structure of this formula in the dataset = 0 meV per atom

Lattice parameters (Å, degrees): 3.6400 3.6400 26.0460 90.00 90.00 120.00
Closest atoms and distances in Å follow each position.
Space group R-3m (No. 166, hexagonal axes)
Inequivalent atoms, fractional coordinates:
La1 0.0000 0.0000 0.0000 (multiplicity 3)  6 Dy 3.61, 6 La 3.64
Dy1 0.0000 0.0000 0.2206 (multiplicity 6)  9 Dy 3.51-3.64, 3 La 3.61

***

Entry from Alexandria: a relaxed TaTe2Os crystal (GGA-PBE).

formation energy without anion corrections = 0.02 eV per atom
volume = 106.0 Å³/cell
DOS(E_F) = 0.866 states/eV/atom
magnetization = 0.00 μB/cell
final energy = -7.32 eV/atom
excess energy over the best structure of this formula in the dataset = 0 meV per atom

Lattice parameters (Å, degrees): 3.9288 3.9331 6.8590 90.00 90.99 90.00
Closest atoms and distances in Å follow each position.
Space group Pm (No. 6)
Inequivalent atoms, fractional coordinates:
Ta1 0.0000 0.0000 0.0000 (multiplicity 1)  4 Os 2.69-2.88, 4 Te 2.75-2.79
Te1 0.4996 0.0000 0.7152 (multiplicity 1)  2 Ta 2.75-2.79, 2 Os 2.77
Te2 0.9605 0.5000 0.2832 (multiplicity 1)  2 Os 2.73-2.81, 2 Ta 2.77
Os1 0.4653 0.5000 0.9982 (multiplicity 1)  4 Ta 2.69-2.88, 4 Te 2.73-2.81

***

Entry from Alexandria: a relaxed BeAgOs2 crystal (GGA-PBE).

formation energy from the elements = 0.640 eV/atom
volume = 114.7 Å³/cell
DOS(E_F) = 0.842 states/eV/atom
magnetization = 0.00 μB/cell
final energy = -6.62 eV/atom

Lattice parameters (Å, degrees): 5.2502 9.1046 2.7043 90.00 117.49 90.00
Closest atoms and distances in Å follow each position.
Space group C2/m (No. 12)
Inequivalent atoms, fractional coordinates:
Be1 0.0000 0.0000 0.0000 (multiplicity 2)  4 Ag 2.63-2.77, 4 Os 2.66, 2 Be 2.70
Ag1 0.0000 0.5000 0.0000 (multiplicity 2)  4 Be 2.63-2.77, 4 Os 2.66, 2 Ag 2.70
Os1 0.2500 0.2500 0.5000 (multiplicity 4)  6 Os 2.63-2.77, 2 Be 2.66, 2 Ag 2.66

***

Entry from Alexandria: a relaxed HgSeCl crystal (GGA-PBE).

formation energy without anion corrections = -0.04 eV per atom
volume = 85.3 Å³/cell
DOS(E_F) = 1.109 states/eV/atom
magnetization = 0.00 μB/cell
final energy = -1.91 eV/atom
excess energy over the best structure of this formula in the dataset = 327 meV per atom

Lattice parameters (Å, degrees): 3.7989 3.7989 6.8243 90.00 90.00 120.00
Closest atoms and distances in Å follow each position.
Space group P3m1 (No. 156)
Inequivalent atoms, fractional coordinates:
Hg1 0.0000 0.0000 0.0000 (multiplicity 1)  3 Cl 2.76, 3 Se 2.77
Se1 0.6667 0.3333 0.2471 (multiplicity 1)  3 Hg 2.77
Cl1 0.3333 0.6667 0.7554 (multiplicity 1)  3 Hg 2.76

***

Entry from Alexandria: a relaxed BaYSb2 crystal (GGA-PBE).

formation energy without anion corrections = -0.92 eV per atom
volume = 438.6 Å³/cell
DOS(E_F) = 0.615 states/eV/atom
magnetization = 0.00 μB/cell
final energy = -5.08 eV/atom
excess energy over the best structure of this formula in the dataset = 35 meV per atom

Lattice parameters (Å, degrees): 4.5196 4.5196 24.7931 90.00 90.00 120.00
Closest atoms and distances in Å follow each position.
Space group R3m (No. 160, hexagonal axes)
Inequivalent atoms, fractional coordinates:
Ba1 0.0000 0.0000 0.0000 (multiplicity 3)  6 Sb 3.49-3.58
Y1 0.0000 0.0000 0.1714 (multiplicity 3)  6 Sb 3.11-3.17
Sb1 0.0000 0.0000 0.5732 (multiplicity 3)  3 Y 3.11
Sb2 0.0000 0.0000 0.7657 (multiplicity 3)  3 Y 3.17

***

Entry from Alexandria: a relaxed Ba2Ag4BiAs3 crystal (GGA-PBE).

formation energy from the elements = -0.455 eV/atom
volume = 255.0 Å³/cell
DOS(E_F) = 0.419 states/eV/atom
magnetization = 0.00 μB/cell
final energy = -3.76 eV/atom

Lattice parameters (Å, degrees): 4.6761 4.6761 11.6613 90.00 90.00 90.00
Closest atoms and distances in Å follow each position.
Space group P-4m2 (No. 115)
Inequivalent atoms, fractional coordinates:
Ba1 0.0000 0.5000 0.2314 (multiplicity 2)  6 As 3.52-3.91, 8 Ag 3.57-3.60, 2 Bi 3.91
Ag1 0.0000 0.0000 0.0000 (multiplicity 1)  4 As 2.78
Ag2 0.0000 0.5000 0.6473 (multiplicity 2)  3 As 2.61-2.90, 2 Bi 2.90
Ag3 0.5000 0.5000 0.0000 (multiplicity 1)  4 As 2.78
Bi1 0.0000 0.0000 0.5000 (multiplicity 1)  4 Ag 2.90
As1 0.0000 0.5000 0.8714 (multiplicity 2)  5 Ag 2.61-2.78
As2 0.5000 0.5000 0.5000 (multiplicity 1)  4 Ag 2.90

***

Entry from Alexandria: a relaxed Y2CoRu3 crystal (GGA-PBE).

formation energy from the elements = -0.278 eV/atom
volume = 312.2 Å³/cell
DOS(E_F) = 0.930 states/eV/atom
magnetization = 2.09 μB/cell
final energy = -8.25 eV/atom

Lattice parameters (Å, degrees): 5.2906 5.2906 12.8808 90.00 90.00 120.00
Closest atoms and distances in Å follow each position.
Space group R-3m (No. 166, hexagonal axes)
Inequivalent atoms, fractional coordinates:
Y1 0.0000 0.0000 0.1246 (multiplicity 6)  9 Ru 3.09, 3 Co 3.10, 4 Y 3.21-3.24
Co1 0.0000 0.0000 0.5000 (multiplicity 3)  6 Ru 2.63
Ru1 0.0000 0.5000 0.0000 (multiplicity 9)  2 Co 2.63, 4 Ru 2.65

***

Entry from Alexandria: a relaxed Sc5C crystal (GGA-PBE).

formation energy from the elements = 1.475 eV/atom
volume = 147.3 Å³/cell
DOS(E_F) = 1.647 states/eV/atom
magnetization = 1.71 μB/cell
final energy = -5.34 eV/atom
excess energy over the best structure of this formula in the dataset = 1516 meV per atom

Lattice parameters (Å, degrees): 5.5037 5.5037 5.6168 90.00 90.00 120.00
Closest atoms and distances in Å follow each position.
Space group P6/mmm (No. 191)
Inequivalent atoms, fractional coordinates:
Sc1 0.0000 0.5000 0.0000 (multiplicity 3)  4 Sc 2.75
Sc2 0.3333 0.6667 0.5000 (multiplicity 2)  3 C 3.18, 9 Sc 3.18-3.23
C1 0.0000 0.0000 0.5000 (multiplicity 1)  6 Sc 3.18

***

Entry from Alexandria: a relaxed TaSiH3 crystal (GGA-PBE).

volume = 39.2 Å³/cell
DOS(E_F) = 0.485 states/eV/atom
magnetization = 0.00 μB/cell
final energy = -4.72 eV/atom
excess energy over the best structure of this formula in the dataset = 319 meV per atom

Lattice parameters (Å, degrees): 3.3972 3.3972 3.3972 90.00 90.00 90.00
Closest atoms and distances in Å follow each position.
Space group Pm-3m (No. 221)
Inequivalent atoms, fractional coordinates:
Ta1 0.0000 0.0000 0.0000 (multiplicity 1)  12 H 2.40
Si1 0.5000 0.5000 0.5000 (multiplicity 1)  6 H 1.70
H1 0.0000 0.5000 0.5000 (multiplicity 3)  2 Si 1.70

***

Entry from Alexandria: a relaxed Ac8As3PtSe4 crystal (GGA-PBE).

formation energy without anion corrections = -1.65 eV per atom
volume = 1554.6 Å³/cell
DOS(E_F) = 0.666 states/eV/atom
magnetization = 0.01 μB/cell
final energy = -5.83 eV/atom

Lattice parameters (Å, degrees): 9.0075 9.0075 22.1249 90.00 90.00 120.00
Closest atoms and distances in Å follow each position.
Space group R-3m (No. 166, hexagonal axes)
Inequivalent atoms, fractional coordinates:
Ac1 0.0000 0.0000 0.2471 (multiplicity 6)  3 As 3.15, 3 Se 3.23
Ac2 0.0042 0.5021 0.2463 (multiplicity 18)  1 Pt 3.11, 2 As 3.15-3.16, 3 Se 3.22-3.26
As1 0.0000 0.5000 0.5000 (multiplicity 9)  6 Ac 3.15-3.16
Pt1 0.0000 0.0000 0.5000 (multiplicity 3)  6 Ac 3.11
Se1 0.0000 0.0000 0.0000 (multiplicity 3)  6 Ac 3.26
Se2 0.0000 0.5000 0.0000 (multiplicity 9)  6 Ac 3.22-3.23

***

Entry from Alexandria: a relaxed PmNpSb crystal (GGA-PBE).

formation energy without anion corrections = -0.17 eV per atom
volume = 166.6 Å³/cell
DOS(E_F) = 3.270 states/eV/atom
magnetization = 10.45 μB/cell
final energy = -7.44 eV/atom
excess energy over the best structure of this formula in the dataset = 15 meV per atom

Lattice parameters (Å, degrees): 4.0501 4.0501 10.1575 90.00 90.00 90.00
Closest atoms and distances in Å follow each position.
Space group I4mm (No. 107)
Inequivalent atoms, fractional coordinates:
Pm1 0.0000 0.0000 0.0000 (multiplicity 2)  5 Np 3.12-3.47, 4 Sb 3.26
Np1 0.0000 0.0000 0.6928 (multiplicity 2)  5 Pm 3.12-3.47, 4 Sb 3.27
Sb1 0.0000 0.0000 0.3473 (multiplicity 2)  5 Pm 3.26-3.53, 5 Np 3.27-3.51